VASP calculation (GGA-PBEsol) on a relaxed structure of Mn2AsPb.

Cell and atoms, written as POSCAR:
```
Mn2AsPb
1.0
3.044 -3.616 0.000
3.044 3.616 0.000
-0.591 0.000 3.200
Mn As Pb
2 1 1
Direct
0.000 0.500 0.000
0.500 0.000 0.000
0.000 0.000 0.500
0.500 0.500 0.500
```

E in eV/atom: -6.70
Calculated volume in Å³/cell: 70.5
SG: C2/m (12)


VASP calculation (GGA-PBEsol) on a relaxed structure of MnAsPb2.

Cell and atoms, written as POSCAR:
```
MnAsPb2
1.0
0.000 3.598 3.598
3.598 0.000 3.598
3.598 3.598 0.000
Mn As Pb
1 1 2
Direct
0.000 0.000 0.000
0.250 0.250 0.250
0.500 0.500 0.500
0.750 0.750 0.750
```

ΔE to the lowest computed polymorph in kJ/mol of formula units: 145
Calculated volume in Å³/cell: 93.1
SG: F-43m (216)


VASP calculation (GGA-PBEsol) on a relaxed structure of Rb2MnAsPb.

Cell and atoms, written as POSCAR:
```
Rb2MnAsPb
1.0
6.049 0.000 0.000
0.000 6.049 0.000
0.000 0.000 5.104
Rb Mn As Pb
2 1 1 1
Direct
0.000 0.500 0.000
0.500 0.000 0.000
0.000 0.000 0.000
0.500 0.500 0.500
0.000 0.000 0.500
```

E in eV/atom: -3.41
Calculated volume in Å³/cell: 186.8
SG: P4/mmm (123)


VASP calculation (GGA-PBEsol) on a relaxed structure of Pr4Mn2As5.

Cell and atoms, written as POSCAR:
```
Pr4Mn2As5
1.0
4.135 0.000 0.000
-2.068 3.581 0.000
0.000 0.000 17.385
Pr Mn As
4 2 5
Direct
0.000 0.000 0.196
0.000 0.000 0.804
0.333 0.667 0.602
0.667 0.333 0.398
0.333 0.667 0.048
0.667 0.333 0.952
0.000 0.000 0.500
0.333 0.667 0.296
0.333 0.667 0.912
0.667 0.333 0.088
0.667 0.333 0.704
```

E in eV/atom: -7.02
Calculated volume in Å³/cell: 257.4
SG: P-3m1 (164)


VASP calculation (GGA-PBEsol) on a relaxed structure of MnAsPt2.

Cell and atoms, written as POSCAR:
```
MnAsPt2
1.0
-1.929 1.948 3.959
1.929 -1.948 3.959
1.929 1.948 -3.959
Mn As Pt
1 1 2
Direct
0.000 0.000 0.000
0.500 0.500 0.000
0.252 0.752 0.500
0.748 0.248 0.500
```

E in eV/atom: -7.35
Calculated volume in Å³/cell: 59.5
SG: Immm (71)


VASP calculation (GGA-PBEsol) on a relaxed structure of MnAsPt2.

Cell and atoms, written as POSCAR:
```
MnAsPt2
1.0
-1.934 1.934 4.018
1.934 -1.934 4.018
1.934 1.934 -4.018
Mn As Pt
1 1 2
Direct
0.000 0.000 0.000
0.250 0.750 0.500
0.500 0.500 0.000
0.750 0.250 0.500
```

E in eV/atom: -7.29
Calculated volume in Å³/cell: 60.1
SG: I-4m2 (119)